one | # CrCdOs (PBE, optimized geometry)
# V = 17.684 A^3/atom
data_CrCdOs
_chemical_formula_sum 'Cr1 Cd1 Os1'
_symmetry_space_group_name_H-M 'P 1'
_symmetry_Int_Tables_number 1
_cell_length_a 4.218
_cell_length_b 4.218
_cell_length_c 4.218
_cell_angle_alpha 60.00
_cell_angle_beta 60.00
_cell_angle_gamma 60.00
loop_
_symmetry_equiv_pos_as_xyz
'x,y,z'
loop_
_atom_site_label
_atom_site_type_symbol
_atom_site_fract_x
_atom_site_fract_y
_atom_site_fract_z
Os1 Os 0.000 0.000 0.000
Cr1 Cr 0.750 0.750 0.750
Cd1 Cd 0.500 0.500 0.500

two | # CrCdOs (PBE, optimized geometry)
# V = 15.731 A^3/atom
data_CrCdOs
_chemical_formula_sum 'Cr1 Cd1 Os1'
_symmetry_space_group_name_H-M 'P 1'
_symmetry_Int_Tables_number 1
_cell_length_a 5.981
_cell_length_b 5.981
_cell_length_c 5.981
_cell_angle_alpha 151.96
_cell_angle_beta 151.96
_cell_angle_gamma 40.08
loop_
_symmetry_equiv_pos_as_xyz
'x,y,z'
loop_
_atom_site_label
_atom_site_type_symbol
_atom_site_fract_x
_atom_site_fract_y
_atom_site_fract_z
Os1 Os 0.693 0.693 0.000
Cd1 Cd 0.997 0.997 0.000
Cr1 Cr 0.310 0.310 0.000

Stability verdict: two, ahead by 49.1 kJ/mol of atoms

one | # CrCd2Os (PBE, optimized geometry)
# V = 17.313 A^3/atom
data_CrCd2Os
_chemical_formula_sum 'Cr1 Cd2 Os1'
_symmetry_space_group_name_H-M 'P 1'
_symmetry_Int_Tables_number 1
_cell_length_a 5.133
_cell_length_b 5.133
_cell_length_c 2.853
_cell_angle_alpha 90.00
_cell_angle_beta 90.00
_cell_angle_gamma 112.88
loop_
_symmetry_equiv_pos_as_xyz
'x,y,z'
loop_
_atom_site_label
_atom_site_type_symbol
_atom_site_fract_x
_atom_site_fract_y
_atom_site_fract_z
Cr1 Cr 0.500 0.000 0.500
Cd1 Cd 0.500 0.500 0.000
Cd2 Cd 0.000 0.000 0.000
Os1 Os 0.000 0.500 0.500

two | # CrCd2Os (PBE, optimized geometry)
# V = 17.441 A^3/atom
data_CrCd2Os
_chemical_formula_sum 'Cr1 Cd2 Os1'
_symmetry_space_group_name_H-M 'P 1'
_symmetry_Int_Tables_number 1
_cell_length_a 5.176
_cell_length_b 5.176
_cell_length_c 5.176
_cell_angle_alpha 140.05
_cell_angle_beta 127.21
_cell_angle_gamma 68.20
loop_
_symmetry_equiv_pos_as_xyz
'x,y,z'
loop_
_atom_site_label
_atom_site_type_symbol
_atom_site_fract_x
_atom_site_fract_y
_atom_site_fract_z
Os1 Os 0.716 0.216 0.500
Cd1 Cd 0.989 0.989 0.000
Cd2 Cd 0.262 0.762 0.500
Cr1 Cr 0.534 0.534 0.000

three | # CrCd2Os (PBE, optimized geometry)
# V = 16.921 A^3/atom
data_CrCd2Os
_chemical_formula_sum 'Cr1 Cd2 Os1'
_symmetry_space_group_name_H-M 'P 1'
_symmetry_Int_Tables_number 1
_cell_length_a 9.964
_cell_length_b 9.964
_cell_length_c 9.964
_cell_angle_alpha 16.27
_cell_angle_beta 16.27
_cell_angle_gamma 16.27
loop_
_symmetry_equiv_pos_as_xyz
'x,y,z'
loop_
_atom_site_label
_atom_site_type_symbol
_atom_site_fract_x
_atom_site_fract_y
_atom_site_fract_z
Cr1 Cr 0.508 0.508 0.508
Cd1 Cd 0.993 0.993 0.993
Cd2 Cd 0.760 0.760 0.760
Os1 Os 0.239 0.239 0.239

Stability verdict: three, ahead by 21.7 kJ/mol of atoms

one | # CrCd2Os (PBE, optimized geometry)
# V = 17.509 A^3/atom
data_CrCd2Os
_chemical_formula_sum 'Cr1 Cd2 Os1'
_symmetry_space_group_name_H-M 'P 1'
_symmetry_Int_Tables_number 1
_cell_length_a 4.627
_cell_length_b 4.627
_cell_length_c 4.627
_cell_angle_alpha 60.00
_cell_angle_beta 60.00
_cell_angle_gamma 60.00
loop_
_symmetry_equiv_pos_as_xyz
'x,y,z'
loop_
_atom_site_label
_atom_site_type_symbol
_atom_site_fract_x
_atom_site_fract_y
_atom_site_fract_z
Cd1 Cd 0.750 0.750 0.750
Cd2 Cd 0.250 0.250 0.250
Cr1 Cr 0.000 0.000 0.000
Os1 Os 0.500 0.500 0.500

two | # CrCd2Os (PBE, optimized geometry)
# V = 17.152 A^3/atom
data_CrCd2Os
_chemical_formula_sum 'Cr1 Cd2 Os1'
_symmetry_space_group_name_H-M 'P 1'
_symmetry_Int_Tables_number 1
_cell_length_a 3.990
_cell_length_b 3.990
_cell_length_c 4.309
_cell_angle_alpha 90.00
_cell_angle_beta 90.00
_cell_angle_gamma 90.00
loop_
_symmetry_equiv_pos_as_xyz
'x,y,z'
loop_
_atom_site_label
_atom_site_type_symbol
_atom_site_fract_x
_atom_site_fract_y
_atom_site_fract_z
Cr1 Cr 0.500 0.000 0.500
Cd1 Cd 0.500 0.500 0.000
Cd2 Cd 0.000 0.000 0.000
Os1 Os 0.000 0.500 0.500

Stability verdict: two, ahead by 7.5 kJ/mol of atoms

one | # CrCd2Os (PBE, optimized geometry)
# V = 17.039 A^3/atom
data_CrCd2Os
_chemical_formula_sum 'Cr1 Cd2 Os1'
_symmetry_space_group_name_H-M 'P 1'
_symmetry_Int_Tables_number 1
_cell_length_a 2.920
_cell_length_b 2.919
_cell_length_c 8.506
_cell_angle_alpha 70.05
_cell_angle_beta 90.00
_cell_angle_gamma 90.00
loop_
_symmetry_equiv_pos_as_xyz
'x,y,z'
loop_
_atom_site_label
_atom_site_type_symbol
_atom_site_fract_x
_atom_site_fract_y
_atom_site_fract_z
Cd1 Cd 0.000 0.027 0.975
Cd2 Cd 0.500 0.217 0.282
Cr1 Cr 0.000 0.461 0.538
Os1 Os 0.500 0.795 0.705

two | # CrCd2Os (PBE, optimized geometry)
# V = 16.990 A^3/atom
data_CrCd2Os
_chemical_formula_sum 'Cr1 Cd2 Os1'
_symmetry_space_group_name_H-M 'P 1'
_symmetry_Int_Tables_number 1
_cell_length_a 5.099
_cell_length_b 5.099
_cell_length_c 4.804
_cell_angle_alpha 78.94
_cell_angle_beta 78.94
_cell_angle_gamma 33.73
loop_
_symmetry_equiv_pos_as_xyz
'x,y,z'
loop_
_atom_site_label
_atom_site_type_symbol
_atom_site_fract_x
_atom_site_fract_y
_atom_site_fract_z
Cd1 Cd 0.999 0.999 0.001
Cd2 Cd 0.501 0.501 0.499
Os1 Os 0.250 0.250 0.250
Cr1 Cr 0.750 0.750 0.750

Stability verdict: one, ahead by 33.7 kJ/mol of atoms